# CaRhPb2

A relaxed structure of CaRhPb2 (PBE, Alexandria).

a b c (Å): 9.8673 9.8673 9.8673
angles (deg): 20.90 20.90 20.90
Last column: nearest neighbours and their distance in Å.
Sites, in units of the cell vectors:
Ca: 0.0000 0.0000 0.0000  3 Rh 2.87
Rh: 0.2647 0.2647 0.2647  3 Pb 2.78, 3 Ca 2.87
Pb: 0.5340 0.5340 0.5340  3 Rh 2.78
Pb: 0.7660 0.7660 0.7660  3 Ca 3.54, 9 Pb 3.58-3.59

Computed properties:
Total magnetic moment in Bohr magnetons per cell: 0.00
Formation energy in kJ/mol of atoms: -4.7
Raw total energy in eV/f.u.: -16.96
Space-group type: R3m (160)